Entry 1:
## CrFe2As (PBE)

Data for CrFe2As after structural relaxation.

Unit cell a=2.7383 b=3.6823 c=4.9116 alpha=90.00 beta=90.09 gamma=90.00
Element x y z (fractional)
Cr 0.0000 0.0000 0.0000
Fe 0.5001 0.5000 0.2426
Fe 0.4999 0.5000 0.7574
As 0.0000 0.0000 0.5000

Output
energy relative to the elements	0.10	eV per atom
magnetization	0.59	μB/atom
total DFT energy (no corrections)	-7.70	eV per atom

---

Entry 2:
## Ce3Ho4ScP8 (PBE)

Data for Ce3Ho4ScP8 after structural relaxation.

Unit cell a=7.9928 b=7.9928 c=7.9928 alpha=59.99 beta=59.99 gamma=59.99
Element x y z (fractional)
Ce 0.0000 0.5000 0.5000
Ce 0.5000 0.0000 0.5000
Ce 0.5000 0.5000 0.0000
Ho 0.0000 0.0000 0.5000
Ho 0.0000 0.5000 0.0000
Ho 0.5000 0.0000 0.0000
Ho 0.5000 0.5000 0.5000
Sc 0.0000 0.0000 0.0000
P 0.2435 0.7543 0.7543
P 0.2457 0.2457 0.7565
P 0.2457 0.7565 0.2457
P 0.2483 0.2483 0.2483
P 0.7517 0.7517 0.7517
P 0.7543 0.2435 0.7543
P 0.7543 0.7543 0.2435
P 0.7565 0.2457 0.2457

Output
energy relative to the elements	-1.54	eV per atom
magnetization	0.08	μB/atom
total DFT energy (no corrections)	-6.90	eV per atom

---

Entry 3:
## NdEu2Tl (PBE)

Data for NdEu2Tl after structural relaxation.

Unit cell a=5.6961 b=5.6961 c=5.6961 alpha=60.00 beta=60.00 gamma=60.00
Element x y z (fractional)
Nd 0.0000 0.0000 0.0000
Eu 0.2500 0.2500 0.2500
Eu 0.7500 0.7500 0.7500
Tl 0.5000 0.5000 0.5000

Output
energy relative to the elements	-0.04	eV per atom
magnetization	4.00	μB/atom
relative energy among the computed polymorphs	0.50	eV per formula unit
total DFT energy (no corrections)	-6.96	eV per atom

---

Entry 4:
## CdHgBi (PBE)

Data for CdHgBi after structural relaxation.

Unit cell a=5.6091 b=5.6091 c=5.6091 alpha=136.67 beta=136.67 gamma=62.95
Element x y z (fractional)
Cd 0.0000 0.0000 0.0000
Hg 0.6693 0.6693 0.0000
Bi 0.3366 0.3366 0.0000

Output
energy relative to the elements	0.10	eV per atom
magnetization	0.00	μB/atom
relative energy among the computed polymorphs	0.18	eV per formula unit
total DFT energy (no corrections)	-1.60	eV per atom